VASP calculation (PBE) on a relaxed structure of Ca3Mg.

- Energy: -45.76 eV/cell
- ΔH_f (0 K): -0.0068 eV per atom
- Magnetic moment: 0.00 μB per formula unit

```
Ca3Mg
1.0
-3.677 -7.882 4.872
8.202 -0.973 -5.583
5.909 2.356 8.271
Mg Ca
6 18
Cartesian
6.024 1.021 2.880 Mg
-2.080 -5.157 3.848 Mg
5.934 -0.496 -3.205 Mg
1.873 -2.721 0.330 Mg
2.159 -1.227 6.282 Mg
6.408 -4.636 4.217 Mg
8.466 1.745 5.294 Ca
4.052 -4.076 6.664 Ca
8.101 -3.334 7.002 Ca
8.012 -1.773 3.179 Ca
4.731 -5.937 1.452 Ca
5.836 2.326 8.168 Ca
5.057 -2.951 -0.956 Ca
1.098 -5.254 2.528 Ca
7.411 0.342 -0.134 Ca
0.432 -1.535 3.270 Ca
2.881 1.149 4.033 Ca
0.096 -3.912 6.304 Ca
3.592 0.303 0.488 Ca
5.568 -0.616 5.920 Ca
1.666 -4.045 9.685 Ca
10.384 1.026 2.012 Ca
4.099 -2.461 3.031 Ca
3.902 -0.910 9.311 Ca
```